Compound: Li15Cd4Ga
Source: Alexandria
Functional: PBE
Structure: relaxed

Lattice parameters (Å, degrees): 4.1641 4.1641 20.8306 90.00 90.00 90.00
Atoms (fractional coordinates):
Li 0.5000 0.0000 0.5000
Li 0.0000 0.5000 0.2964
Cd 0.0000 0.0000 0.3983
Li 0.5000 0.0000 0.7036
Li 0.5000 0.0000 0.2964
Cd 0.0000 0.0000 0.8057
Li 0.0000 0.5000 0.5000
Ga 0.0000 0.0000 0.0000
Li 0.5000 0.5000 0.1947
Li 0.5000 0.0000 0.9068
Li 0.0000 0.5000 0.0932
Cd 0.0000 0.0000 0.6017
Li 0.0000 0.5000 0.9068
Li 0.5000 0.5000 0.3981
Cd 0.0000 0.0000 0.1943
Li 0.0000 0.5000 0.7036
Li 0.5000 0.0000 0.0932
Li 0.5000 0.5000 0.0000
Li 0.5000 0.5000 0.8053
Li 0.5000 0.5000 0.6019

Computed properties:
Mass density   2.866 Mg/m³
Calculated formation energy   -0.16 eV per atom
SG   No. 123
Raw total energy   -1.934 eV per atom